The following is a DFT calculation (PBE+U) of a geometry-optimized Nd2MnRhO6 structure.

Cell and atoms, written as POSCAR:
```
Nd2MnRhO6
1.0
-0.592 2.774 5.161
2.527 -4.202 2.549
9.199 -0.632 1.396
Nd O Mn Rh
4 12 2 2
Direct
0.928 0.729 0.251
0.072 0.271 0.749
0.428 0.271 0.249
0.572 0.729 0.751
0.467 0.140 0.756
0.802 0.640 0.550
0.698 0.244 0.448
0.033 0.140 0.256
0.967 0.860 0.744
0.302 0.360 0.950
0.198 0.756 0.052
0.198 0.360 0.450
0.533 0.860 0.244
0.698 0.640 0.050
0.302 0.756 0.552
0.802 0.244 0.948
0.500 0.000 0.000
0.000 0.000 0.500
0.500 0.500 0.500
0.000 0.500 0.000
```

Total magnetic moment (μB per formula unit): 3.96
DOS(E_F) (states/eV per atom): 0.02
E_tot (eV/atom): -7.70